No. 1
Compound: Pr3Cd3AgAu2
Source: OQMD
Functional: PBE
Structure: optimized geometry

abc: 8.0188 8.0188 4.0107
angles: 90.00 90.00 120.00
Positions (direct):
Ag  0.0000  0.0000  0.0000
Au  0.6667  0.3333  0.5000
Au  0.3333  0.6667  0.5000
Cd  0.7429  0.0000  0.5000
Cd  0.2571  0.2571  0.5000
Cd  0.0000  0.7429  0.5000
Pr  0.4089  0.0000  0.0000
Pr  0.0000  0.4089  0.0000
Pr  0.5911  0.5911  0.0000

Space group: P-62m, No. 189
Energy of formation: -5.1 eV per formula unit

---

No. 2
Compound: Lu4ZnNiIr2
Source: OQMD
Functional: PBE
Structure: optimized geometry

abc: 4.7660 4.7660 6.7561
angles: 90.00 90.00 90.00
Positions (direct):
Ir  0.5000  0.5000  0.0000
Ir  0.0000  0.0000  0.5000
Lu  0.5000  0.0000  0.2437
Lu  0.0000  0.5000  0.2437
Lu  0.5000  0.0000  0.7563
Lu  0.0000  0.5000  0.7563
Ni  0.0000  0.0000  0.0000
Zn  0.5000  0.5000  0.5000

Space group: P4/mmm, No. 123
Energy of formation: -5.9 eV per formula unit

---

No. 3
Compound: SrPrSn2Pd4
Source: OQMD
Functional: PBE
Structure: optimized geometry

abc: 4.6352 4.6352 9.7400
angles: 90.00 90.00 120.00
Positions (direct):
Pd  0.6667  0.3333  0.1685
Pd  0.0000  0.0000  0.3073
Pd  0.0000  0.0000  0.6927
Pd  0.6667  0.3333  0.8315
Pr  0.0000  0.0000  0.0000
Sn  0.3333  0.6667  0.2415
Sn  0.3333  0.6667  0.7585
Sr  0.6667  0.3333  0.5000

Space group: P-6m2, No. 187

---

No. 4
Compound: Pr3Mg3GaPt2
Source: OQMD
Functional: PBE
Structure: optimized geometry

abc: 7.5459 7.5459 4.2992
angles: 90.00 90.00 120.00
Positions (direct):
Ga  0.0000  0.0000  0.0000
Mg  0.7544  0.0000  0.5000
Mg  0.2456  0.2456  0.5000
Mg  0.0000  0.7544  0.5000
Pr  0.4181  0.0000  0.0000
Pr  0.0000  0.4181  0.0000
Pr  0.5819  0.5819  0.0000
Pt  0.6667  0.3333  0.5000
Pt  0.3333  0.6667  0.5000

Space group: P-62m, No. 189

---

No. 5
Compound: Ta2InPt2
Source: OQMD
Functional: PBE
Structure: optimized geometry

abc: 6.2679 6.2679 6.2679
angles: 138.92 138.92 59.49
Positions (direct):
In  0.0000  0.0000  0.0000
Pt  0.7500  0.2500  0.5000
Pt  0.2500  0.7500  0.5000
Ta  0.3756  0.3756  0.0000
Ta  0.6244  0.6244  0.0000

Space group: I4/mmm, No. 139

---

No. 6
Compound: Nd3Ga8Ag3
Source: OQMD
Functional: PBE
Structure: optimized geometry

abc: 8.4994 8.4994 8.4994
angles: 150.01 111.06 76.96
Positions (direct):
Ag  0.5000  0.5000  0.0000
Ag  0.3009  0.0000  0.3009
Ag  0.6991  0.0000  0.6991
Ga  0.2920  0.1595  0.1325
Ga  0.9729  0.8405  0.1325
Ga  0.5761  0.3564  0.2197
Ga  0.8632  0.6436  0.2197
Ga  0.1368  0.3564  0.7803
Ga  0.4239  0.6436  0.7803
Ga  0.0270  0.1595  0.8675
Ga  0.7080  0.8405  0.8675
Nd  0.6982  0.1982  0.5000
Nd  0.0000  0.5000  0.5000
Nd  0.3018  0.8018  0.5000

Space group: Immm, No. 71

---

No. 7
Compound: OsAuSO
Source: OQMD
Functional: PBE
Structure: optimized geometry

abc: 2.9019 8.1017 5.4633
angles: 90.00 90.00 90.00
Positions (direct):
Au  0.0000  0.3023  0.0993
Au  0.0000  0.6977  0.5993
O  0.5000  0.9708  0.2641
O  0.5000  0.0292  0.7641
Os  0.5000  0.1573  0.4755
Os  0.5000  0.8427  0.9755
S  0.0000  0.6521  0.1521
S  0.0000  0.3479  0.6521

Excess energy over the best structure of this formula in the dataset: 0.000 eV per atom
Space group: Pmc2_1, No. 26

---

No. 8
Compound: TbB4Sb
Source: OQMD
Functional: PBE
Structure: optimized geometry

abc: 3.2351 3.2351 8.0402
angles: 90.00 90.00 120.00
Positions (direct):
B  0.6667  0.3333  0.2595
B  0.3333  0.6667  0.2595
B  0.6667  0.3333  0.7405
B  0.3333  0.6667  0.7405
Sb  0.0000  0.0000  0.0000
Tb  0.0000  0.0000  0.5000

Excess energy over the best structure of this formula in the dataset: 0.091 eV per atom
Space group: P6/mmm, No. 191

---

No. 9
Compound: Nd2ErZn3CdIn2
Source: OQMD
Functional: PBE
Structure: optimized geometry

abc: 4.6413 7.2463 7.2463
angles: 118.96 90.00 90.00
Positions (direct):
Cd  0.0000  0.9883  0.9883
Er  0.0000  0.5761  0.5761
In  0.5000  0.6661  0.3405
In  0.5000  0.3405  0.6661
Nd  0.0000  0.4265  0.0040
Nd  0.0000  0.0040  0.4265
Zn  0.5000  0.7663  0.0006
Zn  0.5000  0.2315  0.2315
Zn  0.5000  0.0006  0.7663

Space group: Amm2, No. 38

---

No. 10
Compound: Cs2YCdF6
Source: OQMD
Functional: PBE
Structure: optimized geometry

abc: 6.4203 6.4203 6.4203
angles: 60.00 60.00 60.00
Last column: magnetic moment on the atom in μB.
Positions (direct):
Cd  0.0000  0.0000  0.0000  0.31
Cs  0.2500  0.2500  0.2500  0.01
Cs  0.7500  0.7500  0.7500  0.01
F  0.7364  0.2636  0.2636  0.03
F  0.2636  0.7364  0.2636  0.03
F  0.7364  0.7364  0.2636  0.03
F  0.2636  0.2636  0.7364  0.03
F  0.7364  0.2636  0.7364  0.03
F  0.2636  0.7364  0.7364  0.03
Y  0.5000  0.5000  0.5000  0.04

Space group: Fm-3m, No. 225

---

No. 11
Compound: NdGeHO4
Source: OQMD
Functional: PBE
Structure: optimized geometry

abc: 7.9634 6.8063 7.1141
angles: 90.00 111.58 90.00
Positions (direct):
Ge  0.2408  0.1094  0.1311
Ge  0.7592  0.6094  0.3689
Ge  0.2408  0.3906  0.6311
Ge  0.7592  0.8906  0.8689
H  0.5534  0.8224  0.1230
H  0.4466  0.3224  0.3770
H  0.5534  0.6776  0.6230
H  0.4466  0.1776  0.8770
Nd  0.2164  0.6356  0.1134
Nd  0.7836  0.1356  0.3866
Nd  0.2164  0.8644  0.6134
Nd  0.7836  0.3644  0.8866
O  0.7149  0.0315  0.0518
O  0.0920  0.3065  0.0518
O  0.8014  0.4308  0.2158
O  0.5421  0.7268  0.2224
O  0.4579  0.2268  0.2776
O  0.1986  0.9308  0.2842
O  0.9080  0.8065  0.4482
O  0.2851  0.5315  0.4482
O  0.7149  0.4685  0.5518
O  0.0920  0.1935  0.5518
O  0.8014  0.0692  0.7158
O  0.5421  0.7732  0.7224
O  0.4579  0.2732  0.7776
O  0.1986  0.5692  0.7842
O  0.9080  0.6935  0.9482
O  0.2851  0.9685  0.9482

Excess energy over the best structure of this formula in the dataset: 0.000 eV per atom
Space group: P2_1/c, No. 14

---

No. 12
Compound: HfMg2Fe
Source: OQMD
Functional: PBE
Structure: optimized geometry

abc: 4.5910 4.5910 4.5910
angles: 60.00 60.00 60.00
Last column: magnetic moment on the atom in μB.
Positions (direct):
Fe  0.5000  0.5000  0.5000  1.60
Hf  0.2500  0.2500  0.2500  -0.23
Mg  0.0000  0.0000  0.0000  -0.01
Mg  0.7500  0.7500  0.7500  0.00

Space group: F-43m, No. 216

---

Number 1: calculated total energy -3.497 eV/atom. Number 2: calculated total energy -6.062 eV/atom. Number 3: calculated total energy -5.157 eV/atom. Number 4: calculated total energy -4.505 eV/atom. Number 5: calculated total energy -7.608 eV/atom. Number 6: calculated total energy -3.848 eV/atom. Number 7: calculated total energy -5.915 eV/atom. Number 8: calculated total energy -5.820 eV/atom. Number 9: calculated total energy -3.055 eV/atom. Number 10: calculated total energy -4.934 eV/atom. Number 11: calculated total energy -6.841 eV/atom. Number 12: calculated total energy -5.107 eV/atom.